The following is a GGA-PBE calculation of a relaxed RbGe2Ru crystal, from Alexandria via LeMat-Bulk.

Values from the calculation:
The calculation puts the energy relative to the lowest polymorph listed for this composition at 0 meV per atom. The calculated volume is 541.7 Å³ per cell.

a = 6.365 Å, b = 6.365 Å, c = 13.373 Å
α = 90.00°, β = 90.00°, γ = 90.00°
Space group I4_1/amd (No. 141, origin choice 2)
Inequivalent atoms, fractional coordinates:
Rb: 0.000 0.250 0.375 (multiplicity 4)
Ge: 0.000 0.000 0.000 (multiplicity 8)
Ru: 0.000 0.250 0.875 (multiplicity 4)